No. 1
ScBeReB2: relaxed, GGA-PBE.

Results
- Energy relative to the elements: 2.22 eV/atom

Cell lengths 3.9897, 4.1311, 3.9897 Å; angles 90.00, 90.00, 90.00 degrees
Closest atoms and distances in Å follow each position.
Element x y z (fractional)
Be  0.0000  0.5000  0.0000  2 Sc 2.07
B  0.0000  0.0000  0.5000  2 Sc 1.99
B  0.5000  0.0000  0.0000  2 Sc 1.99
Re  0.5000  0.5000  0.5000  4 Be 2.82, 8 B 2.87
Sc  0.0000  0.0000  0.0000  4 B 1.99, 2 Be 2.07



No. 2
Li6NdSn6: relaxed, GGA-PBE.

Results
- E above lowest polymorph: 12 meV/atom
- Energy relative to the elements: -0.38 eV/atom

Cell lengths 5.8438, 5.8438, 9.3745 Å; angles 90.00, 90.00, 120.02 degrees
Closest atoms and distances in Å follow each position.
Element x y z (fractional)
Li  0.5000  0.5000  0.7529  6 Sn 2.87-3.07, 4 Li 2.92
Li  0.5000  0.0000  0.2471  6 Sn 2.87-3.07, 4 Li 2.92
Li  0.5000  0.5000  0.2471  6 Sn 2.87-3.07, 4 Li 2.92
Li  0.0000  0.5000  0.7529  6 Sn 2.87-3.07, 4 Li 2.92
Li  0.5000  0.0000  0.7529  6 Sn 2.87-3.07, 4 Li 2.92
Li  0.0000  0.5000  0.2471  6 Sn 2.87-3.07, 4 Li 2.92
Sn  0.0000  0.0000  0.6517  1 Sn 2.84, 6 Li 3.07
Sn  0.6666  0.3334  0.5000  6 Li 2.91
Sn  0.0000  0.0000  0.3483  1 Sn 2.84, 6 Li 3.07
Sn  0.3333  0.6667  0.0000  6 Li 2.87
Sn  0.6667  0.3333  0.0000  6 Li 2.87
Sn  0.3334  0.6666  0.5000  6 Li 2.91
Nd  0.0000  0.0000  0.0000  8 Sn 3.27-3.37



No. 3
Pm6Ru2Rh: relaxed, GGA-PBE.

Results
- Energy relative to the elements: -0.27 eV/atom

Cell lengths 4.9424, 7.1829, 10.0196 Å; angles 129.24, 90.00, 110.12 degrees
Closest atoms and distances in Å follow each position.
Element x y z (fractional)
Pm  0.0421  0.0842  0.8356  3 Ru 2.98-3.00, 1 Rh 3.01
Pm  0.7062  0.4124  0.1637  3 Ru 2.98-3.00, 1 Rh 3.01
Pm  0.9579  0.9158  0.1644  3 Ru 2.98-3.00, 1 Rh 3.01
Pm  0.2938  0.5876  0.8363  3 Ru 2.98-3.00, 1 Rh 3.01
Pm  0.6257  0.2514  0.5003  2 Ru 2.99, 2 Rh 3.00
Pm  0.3743  0.7486  0.4997  2 Ru 2.99, 2 Rh 3.00
Ru  0.3336  0.6673  0.1672  8 Pm 2.98-3.00
Ru  0.6664  0.3327  0.8328  8 Pm 2.98-3.00
Rh  0.0000  0.0000  0.5000  8 Pm 3.00-3.01



No. 4
HgBi5Pb6: relaxed, GGA-PBE.

Results
- E above lowest polymorph: 0 meV/atom
- Energy relative to the elements: 0.08 eV/atom

Cell lengths 7.7354, 8.5641, 7.7594 Å; angles 56.51, 82.64, 76.58 degrees
Closest atoms and distances in Å follow each position.
Element x y z (fractional)
Bi  0.0000  0.3013  0.3974  6 Pb 3.22-3.27
Bi  0.0000  0.6987  0.6026  6 Pb 3.22-3.27
Bi  0.5000  0.5000  0.0000  6 Pb 3.23-3.26
Bi  0.5000  0.8728  0.2545  6 Pb 3.25-3.53, 1 Bi 3.29
Bi  0.5000  0.1272  0.7455  6 Pb 3.25-3.53, 1 Bi 3.29
Pb  0.1858  0.3036  0.0000  5 Bi 3.22-3.53, 1 Hg 3.25
Pb  0.8142  0.6964  0.0000  5 Bi 3.22-3.53, 1 Hg 3.25
Pb  0.2932  0.5326  0.3709  5 Bi 3.23-3.28
Pb  0.2932  0.9035  0.6291  5 Bi 3.23-3.28
Pb  0.7068  0.4674  0.6291  5 Bi 3.23-3.28
Pb  0.7068  0.0965  0.3709  5 Bi 3.23-3.28
Hg  0.0000  0.0000  0.0000  2 Pb 3.25



No. 5
CsPSe2Br: relaxed, GGA-PBE.

Results
- E above lowest polymorph: 1428 meV/atom
- Uncorrected formation energy: 1085 meV per atom

Cell lengths 7.6744, 7.6744, 6.8763 Å; angles 90.00, 90.00, 90.00 degrees
Closest atoms and distances in Å follow each position.
Element x y z (fractional)
Cs  0.0000  0.0000  0.0000  2 Br 3.44, 4 Se 3.84
Se  0.5000  0.0000  0.0000  2 Cs 3.84
Se  0.0000  0.5000  0.0000  2 Cs 3.84
Br  0.0000  0.0000  0.5000  2 Cs 3.44
P  0.5000  0.5000  0.5000  8 Se 5.15, 4 Br 5.43



No. 6
SrHCl2: relaxed, GGA-PBE.

Cell lengths 4.4820, 5.5540, 10.1852 Å; angles 90.00, 102.71, 90.00 degrees
Closest atoms and distances in Å follow each position.
Element x y z (fractional)
Sr  0.8307  0.2500  0.6614  6 Cl 2.78-3.10
Sr  0.1693  0.7500  0.3386  6 Cl 2.78-3.10
Cl  0.4138  0.2500  0.8276  2 Sr 2.78
Cl  0.7769  0.7500  0.5538  4 Sr 2.98-3.10, 1 H 3.32
Cl  0.2231  0.2500  0.4462  4 Sr 2.98-3.10, 1 H 3.32
Cl  0.5862  0.7500  0.1724  2 Sr 2.78
H  0.0560  0.2500  0.1121  7 Cl 3.32-3.62, 2 H 3.56, 2 Sr 3.57
H  0.9440  0.7500  0.8879  7 Cl 3.32-3.62, 2 H 3.56, 2 Sr 3.57



No. 7
LaNbB3: relaxed, GGA-PBE.

Results
- E above lowest polymorph: 2037 meV/atom
- Energy relative to the elements: 2.33 eV/atom

Cell lengths 4.3659, 4.3659, 4.3659 Å; angles 90.00, 90.00, 90.00 degrees
Closest atoms and distances in Å follow each position.
Element x y z (fractional)
B  0.0000  0.0000  0.5000  2 La 2.18
B  0.0000  0.5000  0.0000  2 La 2.18
B  0.5000  0.0000  0.0000  2 La 2.18
La  0.0000  0.0000  0.0000  6 B 2.18
Nb  0.5000  0.5000  0.5000  12 B 3.09



No. 8
Tm2Mn2Ge2N: relaxed, GGA-PBE.

Results
- Uncorrected formation energy: -683 meV per atom

Cell lengths 4.0348, 4.0348, 7.7246 Å; angles 105.14, 105.14, 90.00 degrees
Closest atoms and distances in Å follow each position.
Element x y z (fractional)
Ge  0.3739  0.3739  0.7478  4 Mn 2.71, 4 Tm 2.90
Ge  0.6261  0.6261  0.2522  4 Mn 2.71, 4 Tm 2.90
Mn  0.0000  0.5000  0.0000  2 N 2.02
Mn  0.5000  0.0000  0.0000  2 N 2.02
N  0.0000  0.0000  0.0000  4 Mn 2.02
Tm  0.1622  0.1622  0.3244  1 N 2.33
Tm  0.8378  0.8378  0.6756  1 N 2.33



No. 9
PrScGe2Os: relaxed, GGA-PBE.

Results
- Energy relative to the elements: -0.64 eV/atom

Cell lengths 4.1325, 4.1325, 6.5495 Å; angles 108.39, 108.39, 90.00 degrees
Closest atoms and distances in Å follow each position.
Element x y z (fractional)
Sc  0.2500  0.7500  0.5000  4 Ge 2.64, 4 Os 2.92
Os  0.7500  0.2500  0.5000  4 Ge 2.64, 4 Sc 2.92
Ge  0.6093  0.6093  0.2185  1 Ge 2.56, 2 Sc 2.64, 2 Os 2.64
Ge  0.3907  0.3907  0.7815  1 Ge 2.56, 2 Os 2.64, 2 Sc 2.64
Pr  0.0000  0.0000  0.0000  8 Ge 3.19



No. 10
TmZrS: relaxed, GGA-PBE.

Results
- E above lowest polymorph: 0 meV/atom
- Uncorrected formation energy: -1256 meV per atom

Cell lengths 3.8486, 3.8486, 8.8504 Å; angles 90.00, 90.00, 90.00 degrees
Closest atoms and distances in Å follow each position.
Element x y z (fractional)
S  0.7499  0.2501  0.8670  1 Zr 2.68, 5 Tm 2.75-2.77
S  0.2501  0.7499  0.1330  1 Zr 2.68, 5 Tm 2.75-2.77
Tm  0.7501  0.2499  0.1794  5 S 2.75-2.77
Tm  0.2499  0.7501  0.8206  5 S 2.75-2.77
Zr  0.7500  0.2500  0.5636  1 S 2.68, 4 Zr 2.95
Zr  0.2500  0.7500  0.4364  1 S 2.68, 4 Zr 2.95



No. 11
LaF4: relaxed, GGA-PBE.

Results
- Uncorrected formation energy: -3080 meV per atom

Cell lengths 4.6720, 4.6720, 4.6720 Å; angles 90.00, 90.00, 90.00 degrees
Closest atoms and distances in Å follow each position.
Element x y z (fractional)
La  0.5000  0.5000  0.5000  6 F 2.34
F  0.5000  0.5000  0.0000  2 La 2.34
F  0.0000  0.0000  0.0000  12 F 3.30
F  0.0000  0.5000  0.5000  2 La 2.34
F  0.5000  0.0000  0.5000  2 La 2.34



No. 12
CaYCd: relaxed, GGA-PBE.

Results
- E above lowest polymorph: 173 meV/atom
- Energy relative to the elements: -0.01 eV/atom

Cell lengths 5.2451, 5.2451, 7.4797 Å; angles 90.00, 90.00, 90.00 degrees
Closest atoms and distances in Å follow each position.
Element x y z (fractional)
Ca  0.0000  0.0000  0.5000  4 Cd 3.30
Ca  0.5000  0.5000  0.5000  4 Cd 3.30
Y  0.0000  0.0000  0.0000  4 Cd 3.15
Y  0.5000  0.5000  0.0000  4 Cd 3.15
Cd  0.5000  0.0000  0.7670  4 Y 3.15, 4 Ca 3.30
Cd  0.0000  0.5000  0.2330  4 Y 3.15, 4 Ca 3.30



| no. | DFT total energy (eV per atom) | M_tot (μB/f.u.) |
| --- | --- | --- |
| 1 | -4.956 | 1.65 |
| 2 | -3.476 | 0.00 |
| 3 | -6.312 | 0.00 |
| 4 | -3.417 | 0.00 |
| 5 | -1.896 | 7.15 |
| 6 | -3.421 | 1.00 |
| 7 | -4.678 | 0.00 |
| 8 | -7.089 | 6.06 |
| 9 | -6.950 | 0.00 |
| 10 | -6.971 | 0.00 |
| 11 | -5.562 | 1.04 |
| 12 | -3.137 | 0.00 |